# Y2Pt2Pb (PBE, optimized geometry)
# * space-group type: I4/mmm, No. 139
# * ΔE_f: -74 kJ/mol of atoms
data_Y2Pt2Pb
_chemical_formula_sum 'Y2 Pt2 Pb1'
_symmetry_space_group_name_H-M 'P 1'
_symmetry_Int_Tables_number 1
_cell_length_a 3.882
_cell_length_b 3.882
_cell_length_c 8.785
_cell_angle_alpha 77.24
_cell_angle_beta 77.24
_cell_angle_gamma 90.00
loop_
_symmetry_equiv_pos_as_xyz
'x,y,z'
loop_
_atom_site_label
_atom_site_fract_x
_atom_site_fract_y
_atom_site_fract_z
_atom_site_occupancy
Pb1 0.000 0.000 0.000 1
Y1 0.376 0.376 0.248 1
Y2 0.624 0.624 0.752 1
Pt1 0.750 0.250 0.500 1
Pt2 0.250 0.750 0.500 1


# GaFeAs2Br (PBE, optimized geometry)
# * space-group type: P4/mmm, No. 123
# * uncorrected formation energy: 21 kJ per mole of atoms
# * excess energy over the best structure of this formula in the dataset: 0.0 kJ per mole of atoms
data_GaFeAs2Br
_chemical_formula_sum 'Ga1 Fe1 As2 Br1'
_symmetry_space_group_name_H-M 'P 1'
_symmetry_Int_Tables_number 1
_cell_length_a 4.484
_cell_length_b 4.484
_cell_length_c 6.203
_cell_angle_alpha 90.00
_cell_angle_beta 90.00
_cell_angle_gamma 90.00
loop_
_symmetry_equiv_pos_as_xyz
'x,y,z'
loop_
_atom_site_label
_atom_site_fract_x
_atom_site_fract_y
_atom_site_fract_z
_atom_site_occupancy
As1 0.000 0.500 0.000 1
As2 0.500 0.000 0.000 1
Ga1 0.500 0.500 0.500 1
Br1 0.000 0.000 0.500 1
Fe1 0.000 0.000 0.000 1


# Cs2BiPbI6 (PBE, optimized geometry)
# * space-group type: I4/mmm, No. 139
# * uncorrected formation energy: -84 kJ per mole of atoms
data_Cs2BiPbI6
_chemical_formula_sum 'Cs2 Bi1 Pb1 I6'
_symmetry_space_group_name_H-M 'P 1'
_symmetry_Int_Tables_number 1
_cell_length_a 8.981
_cell_length_b 8.981
_cell_length_c 8.998
_cell_angle_alpha 60.06
_cell_angle_beta 60.06
_cell_angle_gamma 90.00
loop_
_symmetry_equiv_pos_as_xyz
'x,y,z'
loop_
_atom_site_label
_atom_site_fract_x
_atom_site_fract_y
_atom_site_fract_z
_atom_site_occupancy
Pb1 0.500 0.500 0.000 1
Cs1 0.750 0.250 0.500 1
Cs2 0.250 0.750 0.500 1
I1 0.248 0.248 0.504 1
I2 0.752 0.752 0.496 1
I3 0.248 0.248 0.000 1
I4 0.752 0.752 0.000 1
I5 0.752 0.248 0.000 1
I6 0.248 0.752 0.000 1
Bi1 0.000 0.000 0.000 1


# BeCuPt2 (PBE, optimized geometry)
# * space-group type: P4/mmm, No. 123
# * ΔE_f: -39 kJ/mol of atoms
data_BeCuPt2
_chemical_formula_sum 'Be1 Cu1 Pt2'
_symmetry_space_group_name_H-M 'P 1'
_symmetry_Int_Tables_number 1
_cell_length_a 4.180
_cell_length_b 4.180
_cell_length_c 2.937
_cell_angle_alpha 90.00
_cell_angle_beta 90.00
_cell_angle_gamma 90.00
loop_
_symmetry_equiv_pos_as_xyz
'x,y,z'
loop_
_atom_site_label
_atom_site_fract_x
_atom_site_fract_y
_atom_site_fract_z
_atom_site_occupancy
Be1 0.500 0.000 0.500 1
Pt1 0.000 0.000 0.000 1
Pt2 0.500 0.500 0.000 1
Cu1 0.000 0.500 0.500 1


# YHo5Th (PBE, optimized geometry)
# * space-group type: C2/c, No. 15
# * ΔE_f: 21 kJ/mol of atoms
# * excess energy over the best structure of this formula in the dataset: 0.0 kJ per mole of atoms
data_YHo5Th
_chemical_formula_sum 'Y2 Ho10 Th2'
_symmetry_space_group_name_H-M 'P 1'
_symmetry_Int_Tables_number 1
_cell_length_a 6.440
_cell_length_b 6.432
_cell_length_c 12.703
_cell_angle_alpha 94.46
_cell_angle_beta 90.00
_cell_angle_gamma 120.04
loop_
_symmetry_equiv_pos_as_xyz
'x,y,z'
loop_
_atom_site_label
_atom_site_fract_x
_atom_site_fract_y
_atom_site_fract_z
_atom_site_occupancy
Y1 0.740 0.000 0.250 1
Y2 0.260 0.000 0.750 1
Ho1 0.234 0.473 0.179 1
Ho2 0.665 0.325 0.558 1
Ho3 0.239 0.473 0.679 1
Ho4 0.255 0.000 0.250 1
Ho5 0.340 0.675 0.942 1
Ho6 0.660 0.325 0.058 1
Ho7 0.745 0.000 0.750 1
Ho8 0.761 0.527 0.321 1
Ho9 0.335 0.675 0.442 1
Ho10 0.766 0.527 0.821 1
Th1 0.000 0.000 0.000 1
Th2 0.000 0.000 0.500 1


# PuCdAu4 (PBE, optimized geometry)
# * space-group type: F-43m, No. 216
# * ΔE_f: -26 kJ/mol of atoms
# * excess energy over the best structure of this formula in the dataset: 0.8 kJ per mole of atoms
data_PuCdAu4
_chemical_formula_sum 'Pu1 Cd1 Au4'
_symmetry_space_group_name_H-M 'P 1'
_symmetry_Int_Tables_number 1
_cell_length_a 5.620
_cell_length_b 5.620
_cell_length_c 5.620
_cell_angle_alpha 60.00
_cell_angle_beta 60.00
_cell_angle_gamma 60.00
loop_
_symmetry_equiv_pos_as_xyz
'x,y,z'
loop_
_atom_site_label
_atom_site_fract_x
_atom_site_fract_y
_atom_site_fract_z
_atom_site_occupancy
Cd1 0.000 0.000 0.000 1
Au1 0.625 0.625 0.124 1
Au2 0.625 0.124 0.625 1
Au3 0.625 0.625 0.625 1
Au4 0.124 0.625 0.625 1
Pu1 0.250 0.250 0.250 1


# Zr3Zn2Tc (PBE, optimized geometry)
# * space-group type: Cmmm, No. 65
# * ΔE_f: -32 kJ/mol of atoms
# * excess energy over the best structure of this formula in the dataset: 1.7 kJ per mole of atoms
data_Zr3Zn2Tc
_chemical_formula_sum 'Zr6 Zn4 Tc2'
_symmetry_space_group_name_H-M 'P 1'
_symmetry_Int_Tables_number 1
_cell_length_a 4.713
_cell_length_b 7.455
_cell_length_c 6.654
_cell_angle_alpha 90.00
_cell_angle_beta 90.00
_cell_angle_gamma 71.60
loop_
_symmetry_equiv_pos_as_xyz
'x,y,z'
loop_
_atom_site_label
_atom_site_fract_x
_atom_site_fract_y
_atom_site_fract_z
_atom_site_occupancy
Zr1 0.830 0.339 0.757 1
Zr2 0.500 0.000 0.247 1
Zr3 0.170 0.661 0.243 1
Zr4 0.830 0.339 0.243 1
Zr5 0.170 0.661 0.757 1
Zr6 0.500 0.000 0.753 1
Zn1 0.000 0.000 0.000 1
Zn2 0.000 0.000 0.500 1
Zn3 0.334 0.331 0.500 1
Zn4 0.666 0.669 0.500 1
Tc1 0.336 0.327 0.000 1
Tc2 0.664 0.673 0.000 1


# RbZr3Sc (PBE, optimized geometry)
# * space-group type: Pm-3m, No. 221
# * ΔE_f: 125 kJ/mol of atoms
# * excess energy over the best structure of this formula in the dataset: 0.0 kJ per mole of atoms
data_RbZr3Sc
_chemical_formula_sum 'Rb1 Zr3 Sc1'
_symmetry_space_group_name_H-M 'P 1'
_symmetry_Int_Tables_number 1
_cell_length_a 5.381
_cell_length_b 5.381
_cell_length_c 5.381
_cell_angle_alpha 90.00
_cell_angle_beta 90.00
_cell_angle_gamma 90.00
loop_
_symmetry_equiv_pos_as_xyz
'x,y,z'
loop_
_atom_site_label
_atom_site_fract_x
_atom_site_fract_y
_atom_site_fract_z
_atom_site_occupancy
Sc1 0.000 0.000 0.000 1
Rb1 0.500 0.500 0.500 1
Zr1 0.000 0.500 0.000 1
Zr2 0.000 0.000 0.500 1
Zr3 0.500 0.000 0.000 1


# TlTcCl4 (PBE, optimized geometry)
# * space-group type: P-1, No. 2
# * uncorrected formation energy: -78 kJ per mole of atoms
# * excess energy over the best structure of this formula in the dataset: 0.0 kJ per mole of atoms
data_TlTcCl4
_chemical_formula_sum 'Tl2 Tc2 Cl8'
_symmetry_space_group_name_H-M 'P 1'
_symmetry_Int_Tables_number 1
_cell_length_a 8.289
_cell_length_b 8.203
_cell_length_c 7.237
_cell_angle_alpha 107.96
_cell_angle_beta 96.56
_cell_angle_gamma 119.44
loop_
_symmetry_equiv_pos_as_xyz
'x,y,z'
loop_
_atom_site_label
_atom_site_fract_x
_atom_site_fract_y
_atom_site_fract_z
_atom_site_occupancy
Tl1 0.435 0.216 0.998 1
Tl2 0.565 0.784 0.002 1
Tc1 0.000 0.632 0.002 1
Tc2 0.000 0.368 0.998 1
Cl1 0.297 0.511 0.247 1
Cl2 0.705 0.082 0.748 1
Cl3 0.150 0.714 0.760 1
Cl4 0.850 0.693 0.247 1
Cl5 0.703 0.489 0.753 1
Cl6 0.850 0.286 0.240 1
Cl7 0.295 0.918 0.252 1
Cl8 0.150 0.307 0.753 1


# NaBiTe2 (PBE, optimized geometry)
# * space-group type: R-3m, No. 166
# * uncorrected formation energy: -15 kJ per mole of atoms
data_NaBiTe2
_chemical_formula_sum 'Na1 Bi1 Te2'
_symmetry_space_group_name_H-M 'P 1'
_symmetry_Int_Tables_number 1
_cell_length_a 11.212
_cell_length_b 11.212
_cell_length_c 11.212
_cell_angle_alpha 18.47
_cell_angle_beta 18.47
_cell_angle_gamma 18.47
loop_
_symmetry_equiv_pos_as_xyz
'x,y,z'
loop_
_atom_site_label
_atom_site_fract_x
_atom_site_fract_y
_atom_site_fract_z
_atom_site_occupancy
Na1 0.500 0.500 0.500 1
Te1 0.906 0.906 0.906 1
Te2 0.094 0.094 0.094 1
Bi1 0.000 0.000 0.000 1


# Tm8BS6 (PBE, optimized geometry)
# * space-group type: P-3, No. 147
# * uncorrected formation energy: -119 kJ per mole of atoms
data_Tm8BS6
_chemical_formula_sum 'Tm8 B1 S6'
_symmetry_space_group_name_H-M 'P 1'
_symmetry_Int_Tables_number 1
_cell_length_a 3.865
_cell_length_b 9.786
_cell_length_c 9.786
_cell_angle_alpha 120.00
_cell_angle_beta 90.00
_cell_angle_gamma 90.00
loop_
_symmetry_equiv_pos_as_xyz
'x,y,z'
loop_
_atom_site_label
_atom_site_fract_x
_atom_site_fract_y
_atom_site_fract_z
_atom_site_occupancy
Tm1 0.742 0.972 0.276 1
Tm2 0.742 0.724 0.696 1
Tm3 0.742 0.304 0.028 1
Tm4 0.258 0.028 0.724 1
Tm5 0.258 0.276 0.304 1
Tm6 0.258 0.696 0.972 1
Tm7 0.746 0.333 0.667 1
Tm8 0.254 0.667 0.333 1
B1 0.500 0.000 0.000 1
S1 0.752 0.652 0.131 1
S2 0.752 0.869 0.521 1
S3 0.752 0.479 0.348 1
S4 0.248 0.348 0.869 1
S5 0.248 0.131 0.479 1
S6 0.248 0.521 0.652 1


# Ac2Sm2Sn2N (PBE, optimized geometry)
# * space-group type: I4/mmm, No. 139
# * uncorrected formation energy: -91 kJ per mole of atoms
data_Ac2Sm2Sn2N
_chemical_formula_sum 'Ac2 Sm2 Sn2 N1'
_symmetry_space_group_name_H-M 'P 1'
_symmetry_Int_Tables_number 1
_cell_length_a 4.925
_cell_length_b 4.925
_cell_length_c 9.392
_cell_angle_alpha 105.20
_cell_angle_beta 105.20
_cell_angle_gamma 90.00
loop_
_symmetry_equiv_pos_as_xyz
'x,y,z'
loop_
_atom_site_label
_atom_site_fract_x
_atom_site_fract_y
_atom_site_fract_z
_atom_site_occupancy
Ac1 0.167 0.167 0.333 1
Ac2 0.833 0.833 0.667 1
Sm1 0.000 0.500 0.000 1
Sm2 0.500 0.000 0.000 1
Sn1 0.368 0.368 0.737 1
Sn2 0.632 0.632 0.263 1
N1 0.000 0.000 0.000 1


Number 1: total magnetization 0.000 μB/cell, raw total energy -32.54 eV per formula unit, D(E_F) 3.11 states/eV per cell. Number 2: total magnetization 1.772 μB/cell, raw total energy -21.36 eV per formula unit, D(E_F) 2.36 states/eV per cell. Number 3: total magnetization 0.000 μB/cell, raw total energy -27.33 eV per formula unit, D(E_F) 5.25 states/eV per cell. Number 4: total magnetization 0.000 μB/cell, raw total energy -21.51 eV per formula unit, D(E_F) 0.87 states/eV per cell. Number 5: total magnetization 0.000 μB/cell, raw total energy -35.26 eV per formula unit, D(E_F) 24.40 states/eV per cell. Number 6: total magnetization 5.433 μB/cell, raw total energy -29.95 eV per formula unit, D(E_F) 17.02 states/eV per cell. Number 7: total magnetization 0.000 μB/cell, raw total energy -40.55 eV per formula unit, D(E_F) 10.01 states/eV per cell. Number 8: total magnetization 1.560 μB/cell, raw total energy -26.49 eV per formula unit, D(E_F) 9.74 states/eV per cell. Number 9: total magnetization 0.000 μB/cell, raw total energy -24.98 eV per formula unit, D(E_F) 1.90 states/eV per cell. Number 10: total magnetization 0.000 μB/cell, raw total energy -12.10 eV per formula unit, D(E_F) 2.68 states/eV per cell. Number 11: total magnetization 0.000 μB/cell, raw total energy -85.76 eV per formula unit, D(E_F) 9.42 states/eV per cell. Number 12: total magnetization 0.643 μB/cell, raw total energy -40.60 eV per formula unit, D(E_F) 4.56 states/eV per cell.